[1]
VASP calculation (PBE-GGA) on Ca2Ac7La2 after structural relaxation.

Structure (POSCAR):
```
Ca2Ac7La2
1.0
3.6465 -6.5691 0.0000
3.6465 6.5691 0.0000
0.0000 0.0000 10.4020
Ca Ac La
2 7 2
Direct
0.2450 0.2450 0.0000 Ca
0.7550 0.7550 0.0000 Ca
0.0000 0.0000 0.5000 Ac
0.0000 0.5000 0.1890 Ac
0.0000 0.5000 0.8110 Ac
0.5000 0.0000 0.1890 Ac
0.5000 0.0000 0.8110 Ac
0.5000 0.5000 0.3243 Ac
0.5000 0.5000 0.6757 Ac
0.2698 0.7302 0.5000 La
0.7302 0.2698 0.5000 La
```

[2]
VASP calculation (PBE-GGA) on CaAc7La3 after structural relaxation.

Structure (POSCAR):
```
CaAc7La3
1.0
6.2892 -5.6204 0.0000
6.2892 5.6204 0.0000
-0.6170 0.0000 7.0299
Ca Ac La
1 7 3
Direct
0.0000 0.0000 0.0000 Ca
0.0000 0.0000 0.5000 Ac
0.0755 0.4169 0.7549 Ac
0.2676 0.2676 0.2822 Ac
0.4169 0.0755 0.7549 Ac
0.5831 0.9245 0.2451 Ac
0.7324 0.7324 0.7178 Ac
0.9245 0.5831 0.2451 Ac
0.3358 0.6642 0.5000 La
0.5000 0.5000 0.0000 La
0.6642 0.3358 0.5000 La
```

[3]
VASP calculation (PBE-GGA) on Ca4Ac2La after structural relaxation.

Structure (POSCAR):
```
Ca4Ac2La
1.0
6.0713 -2.7975 0.0000
6.0713 2.7975 0.0000
-1.2731 0.0000 8.6700
Ca Ac La
4 2 1
Direct
0.0696 0.0696 0.2150 Ca
0.3576 0.3576 0.0760 Ca
0.6424 0.6424 0.9240 Ca
0.9304 0.9304 0.7850 Ca
0.2159 0.2159 0.6330 Ac
0.7841 0.7841 0.3670 Ac
0.5000 0.5000 0.5000 La
```

[4]
VASP calculation (PBE-GGA) on CaAcLa after structural relaxation.

Structure (POSCAR):
```
CaAcLa
1.0
3.8750 0.0000 0.0000
-1.9375 3.3559 0.0000
0.0000 0.0000 9.5745
Ca Ac La
1 1 1
Direct
0.0000 0.0000 0.0000 Ca
0.6667 0.3333 0.3462 Ac
0.3333 0.6667 0.6637 La
```

[5]
VASP calculation (PBE-GGA) on Ca8Ac2La after structural relaxation.

Structure (POSCAR):
```
Ca8Ac2La
1.0
7.3526 0.0000 0.0000
-3.6763 6.3675 0.0000
0.0000 0.0000 10.1277
Ca Ac La
8 2 1
Direct
0.1645 0.3290 0.1962 Ca
0.1645 0.8355 0.1962 Ca
0.3290 0.1645 0.8038 Ca
0.3333 0.6667 0.9018 Ca
0.6667 0.3333 0.0982 Ca
0.6710 0.8355 0.1962 Ca
0.8355 0.1645 0.8038 Ca
0.8355 0.6710 0.8038 Ca
0.3333 0.6667 0.5280 Ac
0.6667 0.3333 0.4720 Ac
0.0000 0.0000 0.5000 La
```

[6]
VASP calculation (PBE-GGA) on Ca2AcLa3 after structural relaxation.

Structure (POSCAR):
```
Ca2AcLa3
1.0
7.6304 0.0000 0.0000
-3.8152 6.6081 0.0000
0.0000 0.0000 9.5182
Ca Ac La
4 2 6
Direct
0.0000 0.0000 0.0000 Ca
0.0000 0.5000 0.0000 Ca
0.5000 0.0000 0.0000 Ca
0.5000 0.5000 0.0000 Ca
0.3333 0.6667 0.3412 Ac
0.6667 0.3333 0.6588 Ac
0.1656 0.3313 0.6566 La
0.1656 0.8344 0.6566 La
0.3313 0.1656 0.3434 La
0.6687 0.8344 0.6566 La
0.8344 0.1656 0.3434 La
0.8344 0.6687 0.3434 La
```

[7]
VASP calculation (PBE-GGA) on Ca3AcLa12 after structural relaxation.

Structure (POSCAR):
```
Ca3AcLa12
1.0
5.3520 0.0000 0.0000
0.0000 5.3520 0.0000
0.0000 0.0000 21.2289
Ca Ac La
3 1 12
Direct
0.0000 0.0000 0.0000 Ca
0.0000 0.0000 0.2492 Ca
0.0000 0.0000 0.7508 Ca
0.0000 0.0000 0.5000 Ac
0.0000 0.5000 0.1246 La
0.0000 0.5000 0.3766 La
0.0000 0.5000 0.6234 La
0.0000 0.5000 0.8754 La
0.5000 0.0000 0.1246 La
0.5000 0.0000 0.3766 La
0.5000 0.0000 0.6234 La
0.5000 0.0000 0.8754 La
0.5000 0.5000 0.0000 La
0.5000 0.5000 0.2464 La
0.5000 0.5000 0.5000 La
0.5000 0.5000 0.7536 La
```

[8]
VASP calculation (PBE-GGA) on CaAcLa2 after structural relaxation.

Structure (POSCAR):
```
CaAcLa2
1.0
0.0000 4.3277 4.3277
4.3277 0.0000 4.3277
4.3277 4.3277 0.0000
Ca Ac La
1 1 2
Direct
0.0000 0.0000 0.0000 Ca
0.5000 0.5000 0.5000 Ac
0.2500 0.2500 0.2500 La
0.7500 0.7500 0.7500 La
```

Electronic total energy per entry: -3.61, -3.92, -2.97, -3.65, -2.50, -3.79, -4.28, -3.88 eV per atom